The following is a DFT calculation (PBE) of crystalline RbCaNbTeSe at its relaxed geometry.

Cell lengths 10.5835, 10.5835, 3.8025 Å; angles 90.10, 90.10, 20.68 degrees
Closest atoms and distances in Å follow each position.
Fractional positions:
Rb  0.0000  0.0000  0.0000  4 Se 3.62, 1 Ca 3.62, 4 Rb 3.80
Ca  0.8262  0.8262  0.9964  4 Se 2.94
Nb  0.6486  0.6486  0.5037  4 Te 2.86
Te  0.1957  0.1957  0.0041  4 Nb 2.86
Se  0.3835  0.3835  0.4972  4 Ca 2.94

Summary:
V: 150.4 Å³/cell
DFT total energy: -4.507 eV/atom
distance to the lowest polymorph of the same formula: 0.70 eV per formula unit
formation energy without anion corrections: -2.87 eV/f.u.
D(E_F): 0.435 states/eV per atom

---

The following is a DFT calculation (PBE) of crystalline CsYGa2 at its relaxed geometry.

Cell lengths 11.0421, 11.0421, 11.0421 Å; angles 150.52, 150.52, 42.17 degrees
Closest atoms and distances in Å follow each position.
Fractional positions:
Cs  0.3750  0.6250  0.7500  4 Y 3.97, 8 Ga 4.06
Cs  0.6250  0.3750  0.2500  4 Y 3.97, 8 Ga 4.06
Y  0.1250  0.8750  0.2500  4 Ga 2.93
Y  0.8750  0.1250  0.7500  4 Ga 2.93
Ga  0.0000  0.0000  0.0000  2 Ga 2.81, 2 Y 2.93
Ga  0.0000  0.0000  0.5000  2 Ga 2.81, 2 Y 2.93
Ga  0.0000  0.5000  0.0000  2 Ga 2.81, 2 Y 2.93
Ga  0.5000  0.0000  0.5000  2 Ga 2.81, 2 Y 2.93

Summary:
ΔE_f: 106 kJ/mol of formula units
V: 325.2 Å³/cell
DFT total energy: -3.068 eV/atom
distance to the lowest polymorph of the same formula: 0.18 eV per formula unit
D(E_F): 1.063 states/eV per atom

---

The following is a DFT calculation (PBE) of crystalline Sr2PN at its relaxed geometry.

Cell lengths 5.0430, 5.0430, 5.0430 Å; angles 60.00, 60.00, 60.00 degrees
Closest atoms and distances in Å follow each position.
Fractional positions:
Sr  0.2500  0.2500  0.2500  4 N 3.09, 4 P 3.09
Sr  0.7500  0.7500  0.7500  4 N 3.09, 4 P 3.09
P  0.0000  0.0000  0.0000  8 Sr 3.09
N  0.5000  0.5000  0.5000  8 Sr 3.09

Summary:
V: 90.7 Å³/cell
DFT total energy: -4.415 eV/atom
distance to the lowest polymorph of the same formula: 0.36 eV per formula unit
formation energy without anion corrections: -0.56 eV/f.u.
D(E_F): 0.434 states/eV per atom

---

The following is a DFT calculation (PBE) of crystalline Rb3Ge2Br5Cl2 at its relaxed geometry.

Cell lengths 14.3382, 14.3382, 14.3382 Å; angles 157.56, 157.56, 31.94 degrees
Closest atoms and distances in Å follow each position.
Fractional positions:
Rb  0.0000  0.0000  0.0000  12 Br 3.95
Rb  0.1834  0.1834  0.0000  1 Cl 3.27, 4 Br 3.59
Rb  0.8166  0.8166  0.0000  1 Cl 3.27, 4 Br 3.59
Ge  0.3951  0.3951  0.0000  1 Cl 2.57, 4 Br 2.79
Ge  0.6049  0.6049  0.0000  1 Cl 2.57, 4 Br 2.79
Br  0.1016  0.6016  0.5000  2 Ge 2.79
Br  0.3984  0.8984  0.5000  2 Ge 2.79
Br  0.5000  0.5000  0.0000  2 Ge 2.89
Br  0.6016  0.1016  0.5000  2 Ge 2.79
Br  0.8984  0.3984  0.5000  2 Ge 2.79
Cl  0.3021  0.3021  0.0000  1 Ge 2.57
Cl  0.6979  0.6979  0.0000  1 Ge 2.57

Summary:
V: 429.1 Å³/cell
DFT total energy: -3.248 eV/atom
formation energy without anion corrections: -14.78 eV/f.u.

---

The following is a DFT calculation (PBE) of crystalline Th2ZnFeHg at its relaxed geometry.

Cell lengths 8.0932, 3.8761, 8.1499 Å; angles 90.00, 113.42, 90.00 degrees
Closest atoms and distances in Å follow each position.
Fractional positions:
Th  0.0038  0.2500  0.2751  3 Fe 2.67-2.98
Th  0.3402  0.2500  0.1057  2 Fe 2.68
Th  0.6598  0.7500  0.8943  2 Fe 2.68
Th  0.9962  0.7500  0.7249  3 Fe 2.67-2.98
Zn  0.3659  0.7500  0.4371  1 Fe 2.56, 2 Zn 2.78
Zn  0.6341  0.2500  0.5629  1 Fe 2.56, 2 Zn 2.78
Fe  0.1178  0.7500  0.1209  1 Zn 2.56, 4 Th 2.67-2.68
Fe  0.8822  0.2500  0.8791  1 Zn 2.56, 4 Th 2.67-2.68
Hg  0.3097  0.2500  0.6848  3 Zn 2.96-3.15, 5 Th 3.27-3.31
Hg  0.6903  0.7500  0.3152  3 Zn 2.96-3.15, 5 Th 3.27-3.31

Summary:
ΔE_f: -104 kJ/mol of formula units
V: 234.6 Å³/cell
DFT total energy: -5.191 eV/atom
D(E_F): 0.730 states/eV per atom

---

The following is a DFT calculation (PBE) of crystalline Ga3Sn2Au8 at its relaxed geometry.

Cell lengths 7.2020, 7.2020, 6.0684 Å; angles 97.37, 97.37, 66.94 degrees
Closest atoms and distances in Å follow each position.
Fractional positions:
Ga  0.0000  0.0000  0.0000  6 Au 2.58-2.60
Ga  0.2016  0.7984  0.5000  6 Au 2.67-2.75
Ga  0.7984  0.2016  0.5000  6 Au 2.67-2.75
Sn  0.2826  0.2826  0.7900  6 Au 2.75-2.86
Sn  0.7174  0.7174  0.2100  6 Au 2.75-2.86
Au  0.1165  0.6282  0.0889  2 Ga 2.58-2.74, 1 Au 2.83, 2 Sn 2.83-2.86
Au  0.1510  0.1510  0.3557  3 Ga 2.60-2.67, 1 Au 2.79, 1 Sn 2.86
Au  0.3718  0.8835  0.9111  2 Ga 2.58-2.74, 1 Au 2.83, 2 Sn 2.83-2.86
Au  0.3860  0.3860  0.4154  2 Ga 2.75, 1 Sn 2.75, 4 Au 2.77-2.83
Au  0.6140  0.6140  0.5846  2 Ga 2.75, 1 Sn 2.75, 4 Au 2.77-2.83
Au  0.6282  0.1165  0.0889  2 Ga 2.58-2.74, 1 Au 2.83, 2 Sn 2.83-2.86
Au  0.8490  0.8490  0.6443  3 Ga 2.60-2.67, 1 Au 2.79, 1 Sn 2.86
Au  0.8835  0.3718  0.9111  2 Ga 2.58-2.74, 1 Au 2.83, 2 Sn 2.83-2.86

Summary:
ΔE_f: -87 kJ/mol of formula units
V: 286.2 Å³/cell
DFT total energy: -3.400 eV/atom
D(E_F): 0.337 states/eV per atom

---

The following is a DFT calculation (PBE) of crystalline Ta2AgP at its relaxed geometry.

Cell lengths 10.0036, 10.0036, 10.0036 Å; angles 157.60, 157.60, 31.89 degrees
Closest atoms and distances in Å follow each position.
Fractional positions:
Ta  0.1140  0.6250  0.9890  4 Ta 2.69-2.81, 2 P 2.75, 2 Ag 2.78
Ta  0.3750  0.3640  0.4890  4 Ta 2.69-2.81, 2 P 2.75, 2 Ag 2.78
Ta  0.6360  0.1250  0.0110  4 Ta 2.69-2.81, 2 P 2.75, 2 Ag 2.78
Ta  0.8750  0.8860  0.5110  4 Ta 2.69-2.81, 2 P 2.75, 2 Ag 2.78
Ag  0.2500  0.7500  0.5000  4 P 2.75, 4 Ta 2.78
Ag  0.5000  0.5000  0.0000  4 P 2.75, 4 Ta 2.78
P  0.0000  0.0000  0.0000  4 Ag 2.75, 4 Ta 2.75
P  0.7500  0.2500  0.5000  4 Ag 2.75, 4 Ta 2.75

Summary:
ΔE_f: 214 kJ/mol of formula units
V: 145.3 Å³/cell
DFT total energy: -7.437 eV/atom
D(E_F): 0.530 states/eV per atom

---

The following is a DFT calculation (PBE) of crystalline CeY3Er6 at its relaxed geometry.

Cell lengths 8.8525, 8.8525, 8.9740 Å; angles 90.00, 90.00, 115.89 degrees
Closest atoms and distances in Å follow each position.
Fractional positions:
Ce  0.2315  0.7685  0.5000  6 Er 3.22-3.44, 1 Y 3.47
Ce  0.7685  0.2315  0.0000  6 Er 3.22-3.44, 1 Y 3.47
Y  0.0293  0.3146  0.5651  2 Y 3.23-3.43, 5 Er 3.26-3.48
Y  0.3146  0.0293  0.0651  2 Y 3.23-3.43, 5 Er 3.26-3.48
Y  0.4580  0.5420  0.5774  5 Er 3.41-3.61, 2 Y 3.43, 1 Ce 3.47
Y  0.5420  0.4580  0.0774  5 Er 3.41-3.61, 2 Y 3.43, 1 Ce 3.47
Y  0.6854  0.9707  0.5651  2 Y 3.23-3.43, 5 Er 3.26-3.48
Y  0.9707  0.6854  0.0651  2 Y 3.23-3.43, 5 Er 3.26-3.48
Er  0.0578  0.9422  0.7099  1 Ce 3.22, 6 Er 3.29-3.52
Er  0.1639  0.2922  0.8990  3 Y 3.26-3.48, 4 Er 3.29-3.52, 1 Ce 3.42
Er  0.1704  0.4720  0.2288  4 Er 3.33-3.67, 3 Y 3.33-3.61, 1 Ce 3.44
Er  0.2922  0.1639  0.3990  3 Y 3.26-3.48, 4 Er 3.29-3.52, 1 Ce 3.42
Er  0.2926  0.7074  0.8529  1 Ce 3.30, 3 Y 3.36-3.50, 2 Er 3.37
Er  0.4720  0.1704  0.7288  4 Er 3.33-3.67, 3 Y 3.33-3.61, 1 Ce 3.44
Er  0.5280  0.8296  0.2288  4 Er 3.33-3.67, 3 Y 3.33-3.61, 1 Ce 3.44
Er  0.7074  0.2926  0.3529  1 Ce 3.30, 3 Y 3.36-3.50, 2 Er 3.37
Er  0.7078  0.8361  0.8990  3 Y 3.26-3.48, 4 Er 3.29-3.52, 1 Ce 3.42
Er  0.8296  0.5280  0.7288  4 Er 3.33-3.67, 3 Y 3.33-3.61, 1 Ce 3.44
Er  0.8361  0.7078  0.3990  3 Y 3.26-3.48, 4 Er 3.29-3.52, 1 Ce 3.42
Er  0.9422  0.0578  0.2099  1 Ce 3.22, 6 Er 3.29-3.52

Summary:
ΔE_f: 154 kJ/mol of formula units
V: 632.7 Å³/cell
DFT total energy: -5.110 eV/atom
distance to the lowest polymorph of the same formula: 0.00 eV per formula unit
D(E_F): 1.665 states/eV per atom

---

The following is a DFT calculation (PBE) of crystalline CePr2ErN4 at its relaxed geometry.

Cell lengths 6.1860, 3.5902, 6.2304 Å; angles 90.00, 109.23, 90.00 degrees
Closest atoms and distances in Å follow each position.
Fractional positions:
Ce  0.0000  0.0000  0.0000  6 N 2.46-2.48
Pr  0.0000  0.5000  0.5000  6 N 2.60
Pr  0.5000  0.0000  0.5000  6 N 2.61
Er  0.5000  0.5000  0.0000  6 N 2.46-2.48
N  0.2440  0.5000  0.2303  1 Er 2.46, 2 Ce 2.48, 3 Pr 2.60-2.61
N  0.2547  0.0000  0.7697  1 Ce 2.46, 2 Er 2.48, 3 Pr 2.60-2.61
N  0.7453  0.0000  0.2303  1 Ce 2.46, 2 Er 2.48, 3 Pr 2.60-2.61
N  0.7560  0.5000  0.7697  1 Er 2.46, 2 Ce 2.48, 3 Pr 2.60-2.61

Summary:
V: 130.7 Å³/cell
DFT total energy: -8.132 eV/atom
formation energy without anion corrections: -11.70 eV/f.u.
D(E_F): 0.345 states/eV per atom

---

The following is a DFT calculation (PBE) of crystalline ScMo2P at its relaxed geometry.

Cell lengths 5.1074, 5.1074, 5.1074 Å; angles 141.58, 129.62, 65.09 degrees
Closest atoms and distances in Å follow each position.
Fractional positions:
Sc  0.0000  0.0000  0.0000  8 Mo 2.75-3.01, 4 P 2.85-2.96
Mo  0.2590  0.7590  0.5000  2 Mo 2.65, 4 P 2.76, 2 Sc 2.79
Mo  0.4974  0.4974  0.0000  2 P 2.63, 2 Mo 2.65, 4 Sc 2.75
P  0.7328  0.2328  0.5000  6 Mo 2.63-2.76, 2 Sc 2.85

Summary:
ΔE_f: -64 kJ/mol of formula units
V: 62.9 Å³/cell
DFT total energy: -8.518 eV/atom
D(E_F): 0.709 states/eV per atom

---

The following is a DFT calculation (PBE) of crystalline Cu2AgOsO6 at its relaxed geometry.

Cell lengths 7.6836, 7.6836, 6.7486 Å; angles 110.66, 110.66, 111.92 degrees
Closest atoms and distances in Å follow each position.
Fractional positions:
Cu  0.1065  0.6184  0.7695  2 O 1.86-1.87
Cu  0.3816  0.8935  0.7305  2 O 1.86-1.87
Cu  0.6184  0.1065  0.2695  2 O 1.86-1.87
Cu  0.8935  0.3816  0.2305  2 O 1.86-1.87
Ag  0.4623  0.5377  0.7500  4 O 2.27-2.37
Ag  0.5377  0.4623  0.2500  4 O 2.27-2.37
Os  0.0066  0.9934  0.2500  4 O 1.77-1.84
Os  0.9934  0.0066  0.7500  4 O 1.77-1.84
O  0.0835  0.8972  0.9384  1 Os 1.84
O  0.1028  0.9165  0.5616  1 Os 1.84
O  0.1779  0.3058  0.9380  1 Os 1.77
O  0.1980  0.5805  0.4961  2 Cu 1.86-1.87
O  0.3058  0.1779  0.4380  1 Os 1.77
O  0.4195  0.8020  0.0039  2 Cu 1.86-1.87
O  0.5805  0.1980  0.9961  2 Cu 1.86-1.87
O  0.6942  0.8221  0.5620  1 Os 1.77
O  0.8020  0.4195  0.5039  2 Cu 1.86-1.87
O  0.8221  0.6942  0.0620  1 Os 1.77
O  0.8972  0.0835  0.4384  1 Os 1.84
O  0.9165  0.1028  0.0616  1 Os 1.84

Summary:
V: 286.9 Å³/cell
DFT total energy: -5.703 eV/atom
formation energy without anion corrections: -5.01 eV/f.u.
D(E_F): 0.418 states/eV per atom

---

The following is a DFT calculation (PBE) of crystalline TlPd6Pt at its relaxed geometry.

Cell lengths 5.1237, 5.1266, 5.1272 Å; angles 94.02, 93.88, 93.86 degrees
Closest atoms and distances in Å follow each position.
Fractional positions:
Tl  0.0000  0.0000  0.0000  12 Pd 2.82-2.95
Pd  0.0370  0.4704  0.7471  4 Pd 2.58-2.83, 1 Pt 2.76, 1 Tl 2.82
Pd  0.2529  0.9631  0.5287  4 Pd 2.58-2.83, 1 Pt 2.76, 1 Tl 2.82
Pd  0.4709  0.7471  0.0373  4 Pd 2.58-2.83, 1 Pt 2.77, 1 Tl 2.82
Pd  0.5291  0.2529  0.9627  4 Pd 2.58-2.83, 1 Pt 2.77, 1 Tl 2.82
Pd  0.7471  0.0369  0.4713  4 Pd 2.58-2.83, 1 Pt 2.76, 1 Tl 2.82
Pd  0.9630  0.5296  0.2529  4 Pd 2.58-2.83, 1 Pt 2.76, 1 Tl 2.82
Pt  0.5000  0.5000  0.5000  12 Pd 2.76-2.97

Summary:
ΔE_f: 11 kJ/mol of formula units
V: 133.7 Å³/cell
DFT total energy: -4.931 eV/atom
distance to the lowest polymorph of the same formula: 0.95 eV per formula unit
D(E_F): 1.312 states/eV per atom